This record from Alexandria describes a relaxed structure of AlB2Ir2. The functional is PBE-GGA.

a b c (Å): 3.070 3.070 12.202
angles (deg): 90.00 90.00 90.00
Fractional coordinates of all 10 atoms:
Al1 0.000 0.000 0.000
Al2 0.500 0.500 0.500
B1 0.000 0.500 0.250
B2 0.000 0.500 0.750
B3 0.500 0.000 0.250
B4 0.500 0.000 0.750
Ir1 0.000 0.000 0.377
Ir2 0.000 0.000 0.623
Ir3 0.500 0.500 0.123
Ir4 0.500 0.500 0.877

- ΔE_f (eV per atom) = -0.428
- relative energy among the computed polymorphs (kJ/mol of formula units) = 0.0
- total energy (eV per atom) = -7.392
- symmetry = I4/mmm